# 1
Material: Cs2CrI4
Method: DFT, PBE
State: optimized geometry

The structure in POSCAR format:
```
Cs2CrI4
1.0
-2.927 2.927 9.411
2.927 -2.927 9.411
2.927 2.927 -9.411
Cs Cr I
2 1 4
direct
0.140 0.140 0.000
0.860 0.860 0.000
0.500 0.500 0.000
0.000 0.500 0.500
0.350 0.350 0.000
0.500 0.000 0.500
0.650 0.650 0.000
```

Output
Calculated volume in Å³/f.u.: 322.48
Raw total energy in eV per atom: -3.528
Density of states at the Fermi level in states/eV per atom: 0.03
Offset from the most stable computed form in meV/atom: 0.0
Energy relative to the elements, uncorrected in eV/f.u.: -7.16
Total magnetic moment in μB/cell: 4.0
Space group: I4/mmm (139)



# 2
Material: Cs2CrI4
Method: DFT, PBE
State: optimized geometry

The structure in POSCAR format:
```
Cs2CrI4
1.0
8.005 0.000 0.000
0.000 8.364 0.000
-3.984 0.000 10.586
Cs Cr I
4 2 8
direct
0.206 0.250 0.044
0.290 0.250 0.579
0.710 0.750 0.421
0.794 0.750 0.956
0.207 0.750 0.790
0.793 0.250 0.210
0.011 0.505 0.271
0.011 0.995 0.271
0.348 0.750 0.046
0.394 0.750 0.632
0.606 0.250 0.368
0.652 0.250 0.954
0.989 0.005 0.729
0.989 0.495 0.729
```

Output
Calculated volume in Å³/f.u.: 354.38
Raw total energy in eV per atom: -3.483
Density of states at the Fermi level in states/eV per atom: 0.82
Offset from the most stable computed form in meV/atom: 45.0
Energy relative to the elements, uncorrected in eV/f.u.: -6.85
Total magnetic moment in μB/cell: 8.0
Space group: P2_1/m (11)



# 3
Material: CsCrI2
Method: DFT, PBE
State: optimized geometry

The structure in POSCAR format:
```
CsCrI2
1.0
4.336 -6.741 0.000
4.336 6.741 0.000
0.000 0.000 6.427
Cs Cr I
2 2 4
direct
0.148 0.852 0.750
0.852 0.148 0.250
0.500 0.500 0.000
0.500 0.500 0.500
0.165 0.368 0.750
0.368 0.165 0.250
0.632 0.835 0.750
0.835 0.632 0.250
```

Output
Calculated volume in Å³/f.u.: 187.84
Raw total energy in eV per atom: -3.963
Density of states at the Fermi level in states/eV per atom: 0.11
Offset from the most stable computed form in meV/atom: 0.0
Energy relative to the elements, uncorrected in eV/f.u.: -2.28
Total magnetic moment in μB/cell: 10.0
Space group: Cmcm (63)



# 4
Material: CsCrI3
Method: DFT, PBE
State: optimized geometry

The structure in POSCAR format:
```
CsCrI3
1.0
8.259 0.000 0.000
-4.129 7.152 0.000
0.000 0.000 6.920
Cs Cr I
2 2 6
direct
0.333 0.667 0.250
0.667 0.333 0.750
0.000 0.000 0.000
0.000 0.000 0.500
0.161 0.321 0.750
0.161 0.839 0.750
0.321 0.161 0.250
0.679 0.839 0.750
0.839 0.161 0.250
0.839 0.679 0.250
```

Output
Calculated volume in Å³/f.u.: 204.38
Raw total energy in eV per atom: -3.828
Density of states at the Fermi level in states/eV per atom: 0.69
Offset from the most stable computed form in meV/atom: 0.9
Energy relative to the elements, uncorrected in eV/f.u.: -4.01
Total magnetic moment in μB/cell: 8.0
Space group: P6_3/mmc (194)



# 5
Material: CsCr2I
Method: DFT, PBE
State: optimized geometry

The structure in POSCAR format:
```
CsCr2I
1.0
0.000 3.381 3.381
3.381 0.000 3.381
3.381 3.381 0.000
Cs Cr I
1 2 1
direct
0.000 0.000 0.000
0.250 0.250 0.250
0.750 0.750 0.750
0.500 0.500 0.500
```

Output
Calculated volume in Å³/f.u.: 77.28
Raw total energy in eV per atom: -3.433
Density of states at the Fermi level in states/eV per atom: 1.58
Energy relative to the elements, uncorrected in eV/f.u.: 7.92
Total magnetic moment in μB/cell: 0.0
Space group: Fm-3m (225)



# 6
Material: CsCr2I2
Method: DFT, PBE
State: optimized geometry

The structure in POSCAR format:
```
CsCr2I2
1.0
9.124 0.000 0.000
0.000 9.124 0.000
0.000 0.000 4.761
Cs Cr I
2 4 4
direct
0.000 0.000 0.000
0.500 0.500 0.000
0.068 0.432 0.000
0.432 0.932 0.000
0.568 0.068 0.000
0.932 0.568 0.000
0.157 0.343 0.500
0.343 0.843 0.500
0.657 0.157 0.500
0.843 0.657 0.500
```

Output
Calculated volume in Å³/f.u.: 198.16
Raw total energy in eV per atom: -4.378
Density of states at the Fermi level in states/eV per atom: 0.82
Offset from the most stable computed form in meV/atom: 0.0
Energy relative to the elements, uncorrected in eV/f.u.: 1.31
Total magnetic moment in μB/cell: 2.0
Space group: P4/mbm (127)



# 7
Material: CsCrI3
Method: DFT, PBE
State: optimized geometry

The structure in POSCAR format:
```
CsCrI3
1.0
5.408 -8.052 0.000
5.408 8.052 0.000
0.000 0.000 6.890
Cs Cr I
2 2 6
direct
0.111 0.889 0.750
0.889 0.111 0.250
0.500 0.500 0.000
0.500 0.500 0.500
0.054 0.271 0.750
0.271 0.054 0.250
0.375 0.625 0.750
0.625 0.375 0.250
0.729 0.946 0.750
0.946 0.729 0.250
```

Output
Calculated volume in Å³/f.u.: 300.04
Raw total energy in eV per atom: -3.342
Density of states at the Fermi level in states/eV per atom: 0.46
Offset from the most stable computed form in meV/atom: 486.7
Energy relative to the elements, uncorrected in eV/f.u.: -1.58
Total magnetic moment in μB/cell: 8.9
Space group: Cmcm (63)



# 8
Material: CsCrI2
Method: DFT, PBE
State: optimized geometry

The structure in POSCAR format:
```
CsCrI2
1.0
0.000 4.268 4.268
4.268 0.000 4.268
4.268 4.268 0.000
Cs Cr I
1 1 2
direct
0.000 0.000 0.000
0.500 0.500 0.500
0.250 0.250 0.250
0.750 0.750 0.750
```

Output
Calculated volume in Å³/f.u.: 155.51
Raw total energy in eV per atom: -3.645
Density of states at the Fermi level in states/eV per atom: 2.56
Offset from the most stable computed form in meV/atom: 317.9
Energy relative to the elements, uncorrected in eV/f.u.: -1.00
Total magnetic moment in μB/cell: 5.0
Space group: Fm-3m (225)



# 9
Material: Cs2CrI7
Method: DFT, PBE
State: optimized geometry

The structure in POSCAR format:
```
Cs2CrI7
1.0
-4.238 4.238 6.603
4.238 -4.238 6.603
4.238 4.238 -6.603
Cs Cr I
2 1 7
direct
0.250 0.750 0.500
0.750 0.250 0.500
0.000 0.000 0.000
0.206 0.206 0.000
0.235 0.235 0.470
0.235 0.765 0.000
0.500 0.500 0.000
0.765 0.235 0.000
0.765 0.765 0.530
0.794 0.794 0.000
```

Output
Calculated volume in Å³/f.u.: 474.39
Raw total energy in eV per atom: -2.896
Density of states at the Fermi level in states/eV per atom: 0.53
Energy relative to the elements, uncorrected in eV/f.u.: -6.77
Total magnetic moment in μB/cell: 4.1
Space group: I4/mmm (139)



# 10
Material: CsCrI3
Method: DFT, PBE
State: optimized geometry

The structure in POSCAR format:
```
CsCrI3
1.0
8.315 0.000 0.000
0.000 14.216 0.000
0.000 0.000 7.035
Cs Cr I
4 4 12
direct
0.000 0.163 0.250
0.000 0.837 0.750
0.500 0.337 0.750
0.500 0.663 0.250
0.000 0.500 0.000
0.000 0.500 0.500
0.500 0.000 0.000
0.500 0.000 0.500
0.000 0.345 0.750
0.000 0.655 0.250
0.242 0.416 0.218
0.242 0.584 0.718
0.258 0.084 0.718
0.258 0.916 0.218
0.500 0.155 0.250
0.500 0.845 0.750
0.742 0.084 0.782
0.742 0.916 0.282
0.758 0.416 0.282
0.758 0.584 0.782
```

Output
Calculated volume in Å³/f.u.: 207.90
Raw total energy in eV per atom: -3.829
Density of states at the Fermi level in states/eV per atom: 0.43
Offset from the most stable computed form in meV/atom: 0.0
Energy relative to the elements, uncorrected in eV/f.u.: -4.02
Total magnetic moment in μB/cell: 16.0
Space group: Pbcn (60)



# 11
Material: CsCrI3
Method: DFT, PBE
State: optimized geometry

The structure in POSCAR format:
```
CsCrI3
1.0
5.781 0.000 0.000
0.000 5.781 0.000
0.000 0.000 5.781
Cs Cr I
1 1 3
direct
0.000 0.000 0.000
0.500 0.500 0.500
0.000 0.500 0.500
0.500 0.000 0.500
0.500 0.500 0.000
```

Output
Calculated volume in Å³/f.u.: 193.20
Raw total energy in eV per atom: -3.807
Density of states at the Fermi level in states/eV per atom: 0.32
Offset from the most stable computed form in meV/atom: 21.3
Energy relative to the elements, uncorrected in eV/f.u.: -3.91
Total magnetic moment in μB/cell: 4.0
Space group: Pm-3m (221)